[1]
VASP calculation (GGA-PBE) on crystalline NdSm3Th2As6 at its relaxed geometry.

Values from the calculation:
Formation energy   -1502.3 meV/atom
Size of the total moment   0.0 Bohr magnetons per cell

Cell lengths 4.244, 8.464, 9.472 Å; angles 102.82, 102.95, 90.00 degrees
Atoms (fractional coordinates):
Nd 0.500 0.000 0.000
Sm 0.500 0.500 0.000
Sm 0.835 0.166 0.669
Sm 0.165 0.834 0.331
Th 0.834 0.669 0.669
Th 0.166 0.331 0.331
As 0.332 0.916 0.665
As 0.667 0.583 0.334
As 0.668 0.084 0.335
As 0.000 0.253 0.001
As 0.000 0.747 0.999
As 0.333 0.417 0.666

[2]
VASP calculation (GGA-PBE) on crystalline Nd3SmTh2As6 at its relaxed geometry.

Values from the calculation:
Formation energy   -1499.5 meV/atom
Size of the total moment   0.0 Bohr magnetons per cell

Cell lengths 4.262, 8.509, 9.522 Å; angles 102.97, 102.93, 90.00 degrees
Atoms (fractional coordinates):
Nd 0.500 0.500 0.000
Nd 0.834 0.166 0.669
Nd 0.166 0.834 0.331
Sm 0.500 0.000 0.000
Th 0.835 0.669 0.669
Th 0.165 0.331 0.331
As 0.334 0.915 0.668
As 0.668 0.581 0.335
As 0.666 0.085 0.332
As 0.001 0.248 0.002
As 0.999 0.752 0.998
As 0.332 0.419 0.665

[3]
VASP calculation (GGA-PBE) on crystalline Nd2SmThAs4 at its relaxed geometry.

Values from the calculation:
Formation energy   -1515.0 meV/atom
Size of the total moment   0.0 Bohr magnetons per cell

Cell lengths 4.258, 7.359, 7.368 Å; angles 109.44, 90.00, 90.00 degrees
Atoms (fractional coordinates):
Nd 0.500 0.000 0.500
Nd 0.000 0.500 0.500
Sm 0.000 0.000 0.000
Th 0.500 0.500 0.000
As 0.500 0.249 0.246
As 0.500 0.751 0.754
As 0.000 0.251 0.754
As 0.000 0.749 0.246

[4]
VASP calculation (GGA-PBE) on crystalline Nd2Sm3TmAs6 at its relaxed geometry.

Values from the calculation:
Formation energy   -1509.9 meV/atom
Size of the total moment   0.0 Bohr magnetons per cell

Cell lengths 4.213, 8.419, 9.414 Å; angles 102.94, 102.93, 90.00 degrees
Atoms (fractional coordinates):
Nd 0.835 0.668 0.669
Nd 0.165 0.332 0.331
Sm 0.500 0.500 0.000
Sm 0.833 0.166 0.665
Sm 0.167 0.834 0.335
Tm 0.500 0.000 0.000
As 0.336 0.921 0.672
As 0.666 0.585 0.332
As 0.664 0.079 0.328
As 0.999 0.243 0.997
As 0.001 0.757 0.003
As 0.334 0.415 0.668

[5]
VASP calculation (GGA-PBE) on crystalline Nd2SmTmAs4 at its relaxed geometry.

Values from the calculation:
Formation energy   -1505.0 meV/atom
Size of the total moment   0.0 Bohr magnetons per cell

Cell lengths 4.211, 7.284, 7.287 Å; angles 70.52, 90.00, 90.00 degrees
Atoms (fractional coordinates):
Nd 0.000 0.000 0.000
Nd 0.500 0.000 0.500
Sm 0.500 0.500 0.000
Tm 0.000 0.500 0.500
As 0.000 0.743 0.748
As 0.000 0.257 0.252
As 0.500 0.740 0.257
As 0.500 0.260 0.743

[6]
VASP calculation (GGA-PBE) on crystalline NdSm2TmAs4 at its relaxed geometry.

Values from the calculation:
Formation energy   -1507.4 meV/atom
Size of the total moment   0.0 Bohr magnetons per cell

Cell lengths 4.196, 7.262, 7.260 Å; angles 70.53, 90.00, 90.00 degrees
Atoms (fractional coordinates):
Nd 0.500 0.500 0.000
Sm 0.000 0.000 0.000
Sm 0.500 0.000 0.500
Tm 0.000 0.500 0.500
As 0.000 0.749 0.745
As 0.000 0.251 0.255
As 0.500 0.745 0.257
As 0.500 0.255 0.743